DFT (PBE-GGA) results for a relaxed structure of Ce2Ni4AsP3.

Lattice parameters (Å, degrees): 4.1006 4.1006 9.0765 90.00 90.00 90.00
Closest atoms and distances in Å follow each position.
Positions (direct):
Ce (0.0000, 0.5000, 0.7554)  8 Ni 3.02-3.14, 7 P 3.09-3.38, 2 As 3.09
Ce (0.5000, 0.0000, 0.2446)  8 Ni 3.02-3.14, 7 P 3.09-3.38, 2 As 3.09
As (0.5000, 0.5000, 0.5000)  4 Ni 2.33
Ni (0.0000, 0.5000, 0.3781)  3 P 2.28-2.33, 2 As 2.33
Ni (0.5000, 0.5000, 0.0000)  4 P 2.35
Ni (0.0000, 0.0000, 0.0000)  4 P 2.35
Ni (0.5000, 0.0000, 0.6219)  3 P 2.28-2.33, 2 As 2.33
P (0.0000, 0.0000, 0.5000)  4 Ni 2.33
P (0.0000, 0.5000, 0.1274)  5 Ni 2.28-2.35
P (0.5000, 0.0000, 0.8726)  5 Ni 2.28-2.35

- total energy (hartree per atom) = -0.2405
- energy relative to the elements (eV/atom) = -0.96

DFT (PBE-GGA) results for a relaxed structure of CeNi4AsP2.

Lattice parameters (Å, degrees): 3.9430 3.9430 7.3504 90.00 90.00 90.00
Closest atoms and distances in Å follow each position.
Positions (direct):
P (0.5000, 0.5000, 0.6593)  4 Ni 2.28, 1 P 2.34
P (0.5000, 0.5000, 0.3407)  4 Ni 2.28, 1 P 2.34
Ce (0.0000, 0.0000, 0.5000)  8 P 3.02, 8 Ni 3.04
Ni (0.5000, 0.0000, 0.8142)  2 P 2.28, 2 As 2.40
Ni (0.5000, 0.0000, 0.1858)  2 P 2.28, 2 As 2.40
Ni (0.0000, 0.5000, 0.8142)  2 P 2.28, 2 As 2.40
Ni (0.0000, 0.5000, 0.1858)  2 P 2.28, 2 As 2.40
As (0.0000, 0.0000, 0.0000)  8 Ni 2.40

- total energy (hartree per atom) = -0.2303
- energy relative to the elements (eV/atom) = -0.70

DFT (PBE-GGA) results for a relaxed structure of CeNi2As2P.

Lattice parameters (Å, degrees): 4.3158 4.3158 5.6508 90.00 90.00 90.00
Closest atoms and distances in Å follow each position.
Positions (direct):
Ni (0.0000, 0.5000, 0.0000)  2 P 2.16
Ni (0.5000, 0.0000, 0.0000)  2 P 2.16
As (0.5000, 0.5000, 0.7265)  1 As 2.56, 4 Ni 2.65
As (0.5000, 0.5000, 0.2735)  1 As 2.56, 4 Ni 2.65
P (0.0000, 0.0000, 0.0000)  4 Ni 2.16
Ce (0.0000, 0.0000, 0.5000)  2 P 2.83

- total energy (hartree per atom) = -0.2162
- energy relative to the elements (eV/atom) = -0.52

DFT (PBE-GGA) results for a relaxed structure of Ce2Ni4As3P.

Lattice parameters (Å, degrees): 4.1945 4.1945 9.1968 90.00 90.00 90.00
Closest atoms and distances in Å follow each position.
Positions (direct):
P (0.5000, 0.5000, 0.5000)  4 Ni 2.33
Ce (0.0000, 0.5000, 0.7485)  6 As 3.10-3.16, 2 P 3.10, 9 Ni 3.12-3.30
Ce (0.5000, 0.0000, 0.2515)  6 As 3.10-3.16, 2 P 3.10, 9 Ni 3.12-3.30
As (0.0000, 0.5000, 0.1318)  5 Ni 2.37-2.42
As (0.0000, 0.0000, 0.5000)  4 Ni 2.33
As (0.5000, 0.0000, 0.8682)  5 Ni 2.37-2.42
Ni (0.5000, 0.5000, 0.0000)  4 As 2.42
Ni (0.0000, 0.0000, 0.0000)  4 As 2.42
Ni (0.0000, 0.5000, 0.3900)  3 As 2.33-2.37, 2 P 2.33
Ni (0.5000, 0.0000, 0.6100)  3 As 2.33-2.37, 2 P 2.33

- total energy (hartree per atom) = -0.2319
- energy relative to the elements (eV/atom) = -0.87

DFT (PBE-GGA) results for a relaxed structure of CeNi5As2Pd.

Lattice parameters (Å, degrees): 3.8792 3.8792 10.1026 90.00 90.00 90.00
Closest atoms and distances in Å follow each position.
Positions (direct):
Ni (0.5000, 0.5000, 0.5000)  2 As 2.23
Ni (0.5000, 0.0000, 0.8409)  2 As 2.29, 2 Pd 2.52
Ni (0.0000, 0.5000, 0.1591)  2 As 2.29, 2 Pd 2.52
Ni (0.5000, 0.0000, 0.1591)  2 As 2.29, 2 Pd 2.52
Ni (0.0000, 0.5000, 0.8409)  2 As 2.29, 2 Pd 2.52
Pd (0.0000, 0.0000, 0.0000)  8 Ni 2.52
As (0.5000, 0.5000, 0.7210)  5 Ni 2.23-2.29
As (0.5000, 0.5000, 0.2790)  5 Ni 2.23-2.29
Ce (0.0000, 0.0000, 0.5000)  4 Ni 2.74

- total energy (hartree per atom) = -0.2058
- energy relative to the elements (eV/atom) = -0.12

DFT (PBE-GGA) results for a relaxed structure of Ce2NiAs4Pd3.

Lattice parameters (Å, degrees): 4.4052 4.4052 9.7944 90.00 90.00 90.00
Closest atoms and distances in Å follow each position.
Positions (direct):
Ni (0.5000, 0.5000, 0.5000)  4 As 2.52
As (0.5000, 0.0000, 0.6241)  3 Pd 2.46-2.52, 2 Ni 2.52
As (0.5000, 0.5000, 0.0000)  4 Pd 2.52
As (0.0000, 0.5000, 0.3759)  3 Pd 2.46-2.52, 2 Ni 2.52
As (0.0000, 0.0000, 0.0000)  4 Pd 2.52
Pd (0.0000, 0.5000, 0.1249)  5 As 2.46-2.52
Pd (0.5000, 0.0000, 0.8751)  5 As 2.46-2.52
Pd (0.0000, 0.0000, 0.5000)  4 As 2.52
Ce (0.0000, 0.5000, 0.7448)  6 Pd 3.26-3.37, 2 Ni 3.26, 9 As 3.33-3.61
Ce (0.5000, 0.0000, 0.2552)  2 Ni 3.26, 6 Pd 3.26-3.37, 9 As 3.33-3.61

- total energy (hartree per atom) = -0.2199
- energy relative to the elements (eV/atom) = -0.80

| no. | size of the total moment (μB/f.u.) |
| --- | --- |
| 1 | 0.6 |
| 2 | 0.5 |
| 3 | 0.5 |
| 4 | 0.8 |
| 5 | 1.0 |
| 6 | 1.6 |